1.
First-principles (GGA-PBEsol) data for Sc2Be after structural relaxation, as listed in the Alexandria database.

Results
DFT formation energy (meV/atom): 15
DOS(E_F) (states/eV/cell): 73.0
Raw total energy (eV per atom): -5.722
Excess energy over the best structure of this formula in the dataset (kJ/mol of atoms): 4.2

Cell lengths 12.047, 12.047, 12.047 Å; angles 90.00, 90.00, 90.00 degrees
Space group Fd-3m (No. 227, origin choice 2)
Asymmetric unit:
Sc  0.000  0.000  0.000 x16
Sc  0.062  0.375  0.875 x48
Be  0.042  0.042  0.208 x32



2.
First-principles (GGA-PBEsol) data for YMgTe after structural relaxation, as listed in the Alexandria database.

Results
DOS(E_F) (states/eV/cell): 5.7
Raw total energy (eV per atom): -4.658
Energy relative to the elements, uncorrected (eV/atom): -0.64
Excess energy over the best structure of this formula in the dataset (kJ/mol of atoms): 0.0

Cell lengths 3.753, 3.753, 10.974 Å; angles 90.00, 90.00, 90.00 degrees
Space group I4mm (No. 107)
Asymmetric unit:
Y  0.000  0.000  0.000 x2
Mg  0.000  0.000  0.689 x2
Te  0.000  0.000  0.342 x2



3.
First-principles (GGA-PBEsol) data for TcSnSe2 after structural relaxation, as listed in the Alexandria database.

Results
DOS(E_F) (states/eV/cell): 10.0
Raw total energy (eV per atom): -5.202
Energy relative to the elements, uncorrected (eV/atom): 0.60

Cell lengths 3.5036, 3.5036, 25.3400 Å; angles 90.00, 90.00, 120.00 degrees
Space group R-3m (No. 166, hexagonal axes)
Asymmetric unit:
Tc  0.0000  0.0000  0.0000 x3
Sn  0.0000  0.0000  0.5000 x3
Se  0.0000  0.0000  0.0913 x6



4.
First-principles (GGA-PBEsol) data for MgIn2Ag after structural relaxation, as listed in the Alexandria database.

Results
DFT formation energy (meV/atom): -65
DOS(E_F) (states/eV/cell): 2.8
Raw total energy (eV per atom): -2.813

Cell lengths 9.501, 3.359, 5.478 Å; angles 90.00, 102.58, 90.00 degrees
Space group C2/m (No. 12)
Asymmetric unit:
Mg  0.000  0.000  0.000 x2
In  0.244  0.000  0.741 x4
Ag  0.000  0.500  0.500 x2



5.
First-principles (GGA-PBEsol) data for LiOsBr2 after structural relaxation, as listed in the Alexandria database.

Results
DOS(E_F) (states/eV/cell): 2.2
Raw total energy (eV per atom): -4.270
Energy relative to the elements, uncorrected (eV/atom): 0.21
Excess energy over the best structure of this formula in the dataset (kJ/mol of atoms): 0.0

Cell lengths 3.209, 4.916, 4.410 Å; angles 90.00, 90.00, 90.00 degrees
Space group Pmm2 (No. 25)
Asymmetric unit:
Li  0.000  0.000  0.000 x1
Os  0.500  0.500  0.686 x1
Br  0.000  0.500  0.186 x1
Br  0.500  0.000  0.558 x1



6.
First-principles (GGA-PBEsol) data for HfCu2I after structural relaxation, as listed in the Alexandria database.

Results
DOS(E_F) (states/eV/cell): 10.2
Raw total energy (eV per atom): -4.604
Energy relative to the elements, uncorrected (eV/atom): 0.63

Cell lengths 6.610, 6.610, 6.610 Å; angles 90.00, 90.00, 90.00 degrees
Space group Fm-3m (No. 225)
Asymmetric unit:
Hf  0.000  0.000  0.000 x4
Cu  0.250  0.250  0.250 x8
I  0.000  0.000  0.500 x4



7.
First-principles (GGA-PBEsol) data for Zr3BiO after structural relaxation, as listed in the Alexandria database.

Results
DOS(E_F) (states/eV/cell): 7.9
Raw total energy (eV per atom): -8.493
Energy relative to the elements, uncorrected (eV/atom): -1.13

Cell lengths 4.492, 4.492, 4.492 Å; angles 90.00, 90.00, 90.00 degrees
Space group Pm-3m (No. 221)
Asymmetric unit:
Zr  0.000  0.000  0.500 x3
Bi  0.500  0.500  0.500 x1
O  0.000  0.000  0.000 x1



8.
First-principles (GGA-PBEsol) data for Si2NiIr after structural relaxation, as listed in the Alexandria database.

Results
DOS(E_F) (states/eV/cell): 9.3
Raw total energy (eV per atom): -6.857
Energy relative to the elements, uncorrected (eV/atom): 0.01

Cell lengths 5.890, 5.890, 5.890 Å; angles 90.00, 90.00, 90.00 degrees
Space group F-43m (No. 216)
Asymmetric unit:
Si  0.000  0.000  0.000 x4
Si  0.250  0.250  0.250 x4
Ni  0.000  0.000  0.500 x4
Ir  0.250  0.250  0.750 x4